Material: Tb3Al4Au4
Method: DFT, PBE-GGA
State: optimized geometry

Lattice parameters (Å, degrees): 3.694 4.578 27.143 90.00 90.00 90.00
Space group Immm (No. 71)
Symmetry-distinct sites (fractional):
Tb  0.000  0.000  0.000
Tb  0.000  0.500  0.144
Al  0.000  0.000  0.451
Al  0.000  0.500  0.309
Au  0.000  0.000  0.264
Au  0.000  0.500  0.405

Values from the calculation:
ΔE_f: -0.6862 eV/atom
D(E_F): 5.508 states/eV/f.u.